Record 1
VASP calculation (GGA-PBEsol) on an optimized crystal structure of LaOs2W2.

Output
Size of the total moment ... 0.0 μB per formula unit

abc: 6.1862 6.1862 6.1862
angles: 139.41 139.41 58.76
Last column: nearest neighbours and their distance in Å.
Sites, in units of the cell vectors:
La 0.0000 0.0000 0.0000  8 W 3.33, 8 Os 3.45
Os 0.2500 0.7500 0.5000  4 W 2.53
Os 0.7500 0.2500 0.5000  4 W 2.53
W 0.3737 0.3737 0.0000  4 Os 2.53, 1 W 2.72
W 0.6263 0.6263 0.0000  4 Os 2.53, 1 W 2.72

Record 2
VASP calculation (GGA-PBEsol) on an optimized crystal structure of LaYOs4.

Output
Size of the total moment ... 0.0 μB per formula unit

abc: 5.3627 5.3627 5.3627
angles: 60.00 60.00 60.00
Last column: nearest neighbours and their distance in Å.
Sites, in units of the cell vectors:
La 0.0000 0.0000 0.0000  12 Os 3.14, 4 Y 3.28
Y 0.7500 0.7500 0.7500  12 Os 3.14, 4 La 3.28
Os 0.3753 0.3753 0.3753  6 Os 2.67-2.69
Os 0.3753 0.3753 0.8741  6 Os 2.67-2.69
Os 0.3753 0.8741 0.3753  6 Os 2.67-2.69
Os 0.8741 0.3753 0.3753  6 Os 2.67-2.69

Record 3
VASP calculation (GGA-PBEsol) on an optimized crystal structure of LaZrOs2.

Output
Size of the total moment ... 0.0 μB per formula unit

abc: 2.8693 3.7672 7.6501
angles: 90.00 90.00 90.00
Last column: nearest neighbours and their distance in Å.
Sites, in units of the cell vectors:
La 0.0000 0.0000 0.0000  2 La 2.87
Zr 0.5000 0.5000 0.6412  5 Os 2.71-2.89, 2 Zr 2.87
Os 0.0000 0.0000 0.4234  6 Os 2.59-2.87, 4 Zr 2.89
Os 0.5000 0.5000 0.2871  6 Os 2.59-2.87, 1 Zr 2.71

Record 4
VASP calculation (GGA-PBEsol) on an optimized crystal structure of LaZr2Os.

Output
Size of the total moment ... 0.0 μB per formula unit

abc: 4.9371 4.9371 3.2721
angles: 90.00 90.00 90.00
Last column: nearest neighbours and their distance in Å.
Sites, in units of the cell vectors:
La 0.0000 0.0000 0.0000  8 Zr 2.96, 2 La 3.27
Zr 0.0000 0.5000 0.5000  4 Os 2.96, 4 La 2.96, 2 Zr 3.27
Zr 0.5000 0.0000 0.5000  4 Os 2.96, 4 La 2.96, 2 Zr 3.27
Os 0.5000 0.5000 0.0000  8 Zr 2.96, 2 Os 3.27

Record 5
VASP calculation (GGA-PBEsol) on an optimized crystal structure of LaZrOs2.

Output
Size of the total moment ... 0.0 μB per formula unit

abc: 5.5710 5.5710 5.5710
angles: 138.02 138.02 60.88
Last column: nearest neighbours and their distance in Å.
Sites, in units of the cell vectors:
La 0.0000 0.0000 0.0000  8 Os 2.82-3.12, 4 Zr 3.12
Zr 0.2500 0.7500 0.5000  8 Os 2.82-3.12, 4 La 3.12
Os 0.5000 0.5000 0.0000  4 La 2.82, 4 Zr 3.12, 4 Os 3.12
Os 0.7500 0.2500 0.5000  4 Zr 2.82, 4 La 3.12, 4 Os 3.12

Record 6
VASP calculation (GGA-PBEsol) on an optimized crystal structure of La2ZrOs.

Output
Size of the total moment ... 0.0 μB per formula unit

abc: 10.0001 10.0001 10.0001
angles: 19.65 19.65 19.65
Last column: nearest neighbours and their distance in Å.
Sites, in units of the cell vectors:
La 0.2398 0.2398 0.2398  3 Os 2.92
La 0.7602 0.7602 0.7602  3 Os 2.92
Zr 0.0000 0.0000 0.0000  6 La 3.38, 6 Zr 3.41
Os 0.5000 0.5000 0.5000  6 La 2.92

Record 7
VASP calculation (GGA-PBEsol) on an optimized crystal structure of LaZr2Os.

Output
Size of the total moment ... 0.0 μB per formula unit

abc: 9.8526 9.8526 9.8526
angles: 18.89 18.89 18.89
Last column: nearest neighbours and their distance in Å.
Sites, in units of the cell vectors:
La 0.0000 0.0000 0.0000  3 Os 3.00, 6 La 3.23
Zr 0.2348 0.2348 0.2348  9 Zr 3.14-3.23, 3 La 3.42
Zr 0.4813 0.4813 0.4813  3 Os 2.69
Os 0.7478 0.7478 0.7478  3 Zr 2.69, 3 La 3.00

Record 8
VASP calculation (GGA-PBEsol) on an optimized crystal structure of LaZrOs2.

Output
Size of the total moment ... 0.0 μB per formula unit

abc: 4.6735 4.6735 4.6735
angles: 60.00 60.00 60.00
Last column: nearest neighbours and their distance in Å.
Sites, in units of the cell vectors:
La 0.0000 0.0000 0.0000  4 Zr 2.86, 4 Os 2.86
Zr 0.7500 0.7500 0.7500  4 La 2.86, 4 Os 2.86
Os 0.2500 0.2500 0.2500  4 La 2.86, 4 Os 2.86
Os 0.5000 0.5000 0.5000  4 Zr 2.86, 4 Os 2.86

| no. | formation enthalpy at 0 K (meV/atom) |
| --- | --- |
| 1 | 285 |
| 2 | -99 |
| 3 | 224 |
| 4 | 133 |
| 5 | 362 |
| 6 | 461 |
| 7 | 235 |
| 8 | 237 |